An optimized crystal structure of Tb3Pm4Sc. Source: Alexandria via LeMat-Bulk, functional PBE-GGA.

a b c (Å): 3.6550 5.4469 13.6456
angles (deg): 101.51 97.63 90.00
Element x y z (fractional)
Sc 0.0000 0.5000 0.0000
Tb 0.5000 0.0000 0.0000
Tb 0.1414 0.1417 0.2834
Tb 0.8586 0.8583 0.7166
Pm 0.4041 0.4044 0.8089
Pm 0.5959 0.5956 0.1911
Pm 0.7173 0.7182 0.4365
Pm 0.2827 0.2818 0.5635

Properties
- energy of formation from the pure elements (eV per atom) = 0.15
- space group = No. 12
- energy above the lowest structure with this stoichiometry (eV/atom) = 0.112

=====

An optimized crystal structure of Tb4Pm3Sc. Source: Alexandria via LeMat-Bulk, functional PBE-GGA.

a b c (Å): 6.2587 7.2602 11.3630
angles (deg): 90.00 90.00 90.00
Element x y z (fractional)
Tb 0.1513 0.8747 0.0000
Tb 0.6456 0.1250 0.0000
Tb 0.9848 0.1258 0.2446
Tb 0.4848 0.8742 0.2554
Tb 0.1456 0.8750 0.5000
Tb 0.6513 0.1253 0.5000
Tb 0.4848 0.8742 0.7446
Tb 0.9848 0.1258 0.7554
Pm 0.6469 0.6255 0.0000
Pm 0.9783 0.6228 0.2496
Pm 0.4783 0.3772 0.2504
Pm 0.1469 0.3745 0.5000
Pm 0.4783 0.3772 0.7496
Pm 0.9783 0.6228 0.7504
Sc 0.1453 0.3724 0.0000
Sc 0.6453 0.6276 0.5000

Properties
- energy of formation from the pure elements (eV per atom) = 0.03
- space group = No. 31
- energy above the lowest structure with this stoichiometry (eV/atom) = 0.000

=====

An optimized crystal structure of Tb4Pm2Sc3. Source: Alexandria via LeMat-Bulk, functional PBE-GGA.

a b c (Å): 3.5202 9.3215 9.2542
angles (deg): 115.20 100.96 90.00
Element x y z (fractional)
Tb 0.4804 0.6625 0.9609
Tb 0.1865 0.3333 0.3730
Tb 0.5196 0.3375 0.0391
Tb 0.8135 0.6667 0.6270
Pm 0.6634 0.9908 0.3268
Pm 0.3366 0.0092 0.6732
Sc 0.1474 0.6621 0.2948
Sc 0.8526 0.3379 0.7052
Sc 0.0000 0.0000 0.0000

Properties
- energy of formation from the pure elements (eV per atom) = 0.03
- space group = No. 12
- energy above the lowest structure with this stoichiometry (eV/atom) = 0.000

=====

An optimized crystal structure of Tb3Pm2Sc4. Source: Alexandria via LeMat-Bulk, functional PBE-GGA.

a b c (Å): 5.8155 10.8579 10.8579
angles (deg): 62.67 64.12 64.12
Element x y z (fractional)
Tb 0.7884 0.0438 0.2759
Tb 0.7116 0.7241 0.9562
Tb 0.2116 0.9562 0.7241
Tb 0.2884 0.2759 0.0438
Tb 0.2500 0.6392 0.3608
Tb 0.7500 0.3608 0.6392
Pm 0.4484 0.2559 0.5006
Pm 0.0516 0.4994 0.7441
Pm 0.5516 0.7441 0.4994
Pm 0.9484 0.5006 0.2559
Sc 0.4398 0.9317 0.1700
Sc 0.0602 0.8300 0.0683
Sc 0.5602 0.0683 0.8300
Sc 0.9398 0.1700 0.9317
Sc 0.1235 0.1291 0.4019
Sc 0.3765 0.5981 0.8709
Sc 0.8765 0.8709 0.5981
Sc 0.6235 0.4019 0.1291

Properties
- energy of formation from the pure elements (eV per atom) = 0.11
- space group = No. 15

=====

An optimized crystal structure of TbPm3Sc6. Source: Alexandria via LeMat-Bulk, functional PBE-GGA.

a b c (Å): 6.1212 9.8492 9.8492
angles (deg): 106.49 90.00 90.00
Element x y z (fractional)
Tb 0.2026 0.2114 0.7886
Tb 0.7026 0.7886 0.2114
Pm 0.4891 0.8803 0.7234
Pm 0.9891 0.7234 0.8803
Pm 0.0060 0.4104 0.5896
Pm 0.5060 0.5896 0.4104
Pm 0.9891 0.1197 0.2766
Pm 0.4891 0.2766 0.1197
Sc 0.0062 0.7381 0.5430
Sc 0.5062 0.5430 0.7381
Sc 0.3751 0.5436 0.0245
Sc 0.8751 0.0245 0.5436
Sc 0.3752 0.9436 0.0564
Sc 0.6608 0.2441 0.7559
Sc 0.1608 0.7559 0.2441
Sc 0.8752 0.0564 0.9436
Sc 0.3751 0.9755 0.4564
Sc 0.8751 0.4564 0.9755
Sc 0.0062 0.4570 0.2619
Sc 0.5062 0.2619 0.4570

Properties
- energy of formation from the pure elements (eV per atom) = 0.18
- space group = No. 36
- energy above the lowest structure with this stoichiometry (eV/atom) = 0.000

=====

An optimized crystal structure of Tb2Pm8Sc3. Source: Alexandria via LeMat-Bulk, functional PBE-GGA.

a b c (Å): 5.9750 8.7706 8.7706
angles (deg): 81.11 72.73 72.73
Element x y z (fractional)
Tb 0.3269 0.3173 0.3173
Tb 0.6731 0.6827 0.6827
Pm 0.2399 0.5852 0.5852
Pm 0.7601 0.4148 0.4148
Pm 0.8828 0.1364 0.1364
Pm 0.1172 0.8636 0.8636
Pm 0.6464 0.6115 0.0799
Pm 0.6464 0.0799 0.6115
Pm 0.3536 0.9201 0.3885
Pm 0.3536 0.3885 0.9201
Sc 0.5000 0.0000 0.0000
Sc 0.0000 0.2675 0.7325
Sc 0.0000 0.7325 0.2675

Properties
- energy of formation from the pure elements (eV per atom) = 0.18
- space group = No. 12
- energy above the lowest structure with this stoichiometry (eV/atom) = 0.000

=====

An optimized crystal structure of Tb10Pm4Sc. Source: Alexandria via LeMat-Bulk, functional PBE-GGA.

a b c (Å): 7.6904 8.9260 8.9260
angles (deg): 79.31 64.48 64.48
Element x y z (fractional)
Tb 0.2500 0.5000 0.5000
Tb 0.7143 0.2080 0.7919
Tb 0.0777 0.2081 0.2080
Tb 0.4938 0.7919 0.7920
Tb 0.7142 0.7920 0.2081
Tb 0.2857 0.7920 0.2081
Tb 0.7500 0.5000 0.5000
Tb 0.2858 0.2080 0.7919
Tb 0.5062 0.2081 0.2080
Tb 0.9223 0.7919 0.7920
Pm 0.2309 0.9997 0.5386
Pm 0.7694 0.4614 0.9997
Pm 0.2306 0.5386 0.0003
Pm 0.7691 0.0003 0.4614
Sc 0.0000 0.0000 0.0000

Properties
- energy of formation from the pure elements (eV per atom) = 0.24
- space group = No. 139

=====

An optimized crystal structure of Tb7PmSc2. Source: Alexandria via LeMat-Bulk, functional PBE-GGA.

a b c (Å): 6.0789 10.5115 7.8422
angles (deg): 107.31 74.96 140.25
Element x y z (fractional)
Tb 0.9003 0.7005 0.5974
Tb 0.0997 0.2995 0.4026
Tb 0.1946 0.5984 0.7948
Tb 0.8054 0.4016 0.2052
Tb 0.3004 0.9012 0.2048
Tb 0.6996 0.0988 0.7952
Tb 0.5000 0.5000 0.0000
Pm 0.0000 0.0000 0.0000
Sc 0.6078 0.8028 0.4017
Sc 0.3922 0.1972 0.5983

Properties
- energy of formation from the pure elements (eV per atom) = 0.04
- space group = No. 2
- energy above the lowest structure with this stoichiometry (eV/atom) = 0.000

=====

An optimized crystal structure of Tb3PmSc7. Source: Alexandria via LeMat-Bulk, functional PBE-GGA.

a b c (Å): 5.4607 8.0041 8.0041
angles (deg): 82.22 110.02 110.02
Element x y z (fractional)
Tb 0.0000 0.7892 0.2108
Tb 0.5000 0.0000 0.0000
Tb 0.0000 0.2108 0.7892
Pm 0.5000 0.5000 0.5000
Sc 0.2074 0.2067 0.2067
Sc 0.2814 0.9715 0.5916
Sc 0.7186 0.4084 0.0285
Sc 0.2814 0.5916 0.9715
Sc 0.0000 0.5000 0.5000
Sc 0.7186 0.0285 0.4084
Sc 0.7926 0.7933 0.7933

Properties
- energy of formation from the pure elements (eV per atom) = 0.29
- space group = No. 12

=====

An optimized crystal structure of TbPmSc3. Source: Alexandria via LeMat-Bulk, functional PBE-GGA.

a b c (Å): 7.1266 7.7548 6.4490
angles (deg): 102.26 123.54 90.00
Element x y z (fractional)
Tb 0.8430 0.9988 0.6861
Tb 0.1570 0.0012 0.3139
Pm 0.3950 0.7798 0.7900
Pm 0.6050 0.2202 0.2100
Sc 0.8524 0.6514 0.2830
Sc 0.0953 0.3727 0.1907
Sc 0.4306 0.6514 0.2830
Sc 0.5694 0.3486 0.7170
Sc 0.1476 0.3486 0.7170
Sc 0.9047 0.6273 0.8093

Properties
- energy of formation from the pure elements (eV per atom) = 0.18
- space group = No. 12
- energy above the lowest structure with this stoichiometry (eV/atom) = 0.117

=====

An optimized crystal structure of TbPm2Sc5. Source: Alexandria via LeMat-Bulk, functional PBE-GGA.

a b c (Å): 6.7414 6.7414 6.7414
angles (deg): 92.27 118.70 118.70
Element x y z (fractional)
Tb 0.0000 0.7783 0.7783
Pm 0.5000 0.2777 0.7777
Pm 0.5000 0.7777 0.2777
Sc 0.4994 0.7775 0.7775
Sc 0.0000 0.7775 0.2781
Sc 0.0000 0.2781 0.7775
Sc 0.5006 0.2781 0.2781
Sc 0.0000 0.2773 0.2773

Properties
- energy of formation from the pure elements (eV per atom) = 0.06
- space group = No. 107

=====

An optimized crystal structure of Tb3Pm7Sc. Source: Alexandria via LeMat-Bulk, functional PBE-GGA.

a b c (Å): 5.8177 8.5192 8.5192
angles (deg): 83.36 109.97 109.97
Element x y z (fractional)
Tb 0.0000 0.7963 0.2037
Tb 0.5000 0.0000 0.0000
Tb 0.0000 0.2037 0.7963
Pm 0.2158 0.2147 0.2147
Pm 0.3092 0.0211 0.5977
Pm 0.6908 0.4023 0.9789
Pm 0.3092 0.5977 0.0211
Pm 0.0000 0.5000 0.5000
Pm 0.6908 0.9789 0.4023
Pm 0.7842 0.7853 0.7853
Sc 0.5000 0.5000 0.5000

Properties
- energy of formation from the pure elements (eV per atom) = 0.23
- space group = No. 12
- energy above the lowest structure with this stoichiometry (eV/atom) = 0.125

=====

An optimized crystal structure of Tb6PmSc12. Source: Alexandria via LeMat-Bulk, functional PBE-GGA.

a b c (Å): 8.3565 8.3565 8.3565
angles (deg): 100.38 100.38 100.38
Element x y z (fractional)
Tb 0.7370 0.2252 0.2252
Tb 0.2252 0.2252 0.7370
Tb 0.2252 0.7370 0.2252
Tb 0.7748 0.7748 0.2630
Tb 0.2630 0.7748 0.7748
Tb 0.7748 0.2630 0.7748
Pm 0.0000 0.0000 0.0000
Sc 0.8858 0.1142 0.5000
Sc 0.8394 0.5499 0.5499
Sc 0.5499 0.5499 0.8394
Sc 0.4501 0.1606 0.4501
Sc 0.4501 0.4501 0.1606
Sc 0.1606 0.4501 0.4501
Sc 0.1142 0.5000 0.8858
Sc 0.5000 0.8858 0.1142
Sc 0.1142 0.8858 0.5000
Sc 0.8858 0.5000 0.1142
Sc 0.5000 0.1142 0.8858
Sc 0.5499 0.8394 0.5499

Properties
- energy of formation from the pure elements (eV per atom) = 0.50
- space group = No. 166

=====

An optimized crystal structure of Tb2Pm3Sc. Source: Alexandria via LeMat-Bulk, functional PBE-GGA.

a b c (Å): 7.1501 10.1736 7.1596
angles (deg): 80.43 119.60 121.43
Element x y z (fractional)
Tb 0.3098 0.6753 0.3648
Tb 0.3051 0.6675 0.8620
Tb 0.6949 0.3325 0.1380
Tb 0.6902 0.3247 0.6352
Pm 0.2521 0.0010 0.7496
Pm 0.7479 0.9990 0.2504
Pm 0.8105 0.6736 0.8637
Pm 0.1953 0.3342 0.6385
Pm 0.8047 0.6658 0.3615
Pm 0.1895 0.3264 0.1363
Sc 0.2523 0.0008 0.2514
Sc 0.7477 0.9992 0.7486

Properties
- energy of formation from the pure elements (eV per atom) = 0.03
- space group = No. 2
- energy above the lowest structure with this stoichiometry (eV/atom) = 0.000

=====

An optimized crystal structure of Tb2PmSc. Source: Alexandria via LeMat-Bulk, functional PBE-GGA.

a b c (Å): 3.5207 3.5207 11.5650
angles (deg): 81.24 81.24 60.00
Element x y z (fractional)
Sc 0.0000 0.0000 0.0000
Tb 0.7460 0.7460 0.7621
Tb 0.2540 0.2540 0.2379
Pm 0.5000 0.5000 0.5000

Properties
- energy of formation from the pure elements (eV per atom) = 0.05
- space group = No. 166
- energy above the lowest structure with this stoichiometry (eV/atom) = 0.012

=====

An optimized crystal structure of Tb7Pm3Sc2. Source: Alexandria via LeMat-Bulk, functional PBE-GGA.

a b c (Å): 3.5325 5.8038 19.1100
angles (deg): 104.48 90.00 90.00
Element x y z (fractional)
Tb 0.5000 0.7182 0.4615
Tb 0.5000 0.2818 0.5385
Tb 0.0000 0.4568 0.1477
Tb 0.0000 0.0000 0.0000
Tb 0.0000 0.5432 0.8523
Tb 0.5000 0.0118 0.8187
Tb 0.5000 0.9882 0.1813
Pm 0.5000 0.5000 0.0000
Pm 0.0000 0.1423 0.3649
Pm 0.0000 0.8577 0.6351
Sc 0.5000 0.5813 0.2944
Sc 0.5000 0.4187 0.7056

Properties
- energy of formation from the pure elements (eV per atom) = 0.10
- space group = No. 10
- energy above the lowest structure with this stoichiometry (eV/atom) = 0.000

=====

An optimized crystal structure of Tb4Pm5Sc. Source: Alexandria via LeMat-Bulk, functional PBE-GGA.

a b c (Å): 3.5560 11.4576 8.6373
angles (deg): 71.75 101.87 90.02
Element x y z (fractional)
Tb 0.6043 0.2016 0.2093
Tb 0.9173 0.2868 0.8346
Tb 0.3957 0.7984 0.7907
Tb 0.0827 0.7131 0.1654
Pm 0.2105 0.3844 0.4206
Pm 0.1854 0.9255 0.3709
Pm 0.8146 0.0745 0.6291
Pm 0.5000 0.5000 0.0000
Pm 0.7895 0.6156 0.5794
Sc 0.5000 0.0000 0.0000

Properties
- energy of formation from the pure elements (eV per atom) = 0.05
- space group = No. 12
- energy above the lowest structure with this stoichiometry (eV/atom) = 0.022

=====

An optimized crystal structure of Tb8PmSc2. Source: Alexandria via LeMat-Bulk, functional PBE-GGA.

a b c (Å): 5.4097 8.1828 9.2081
angles (deg): 116.38 107.07 90.00
Element x y z (fractional)
Tb 0.6428 0.8473 0.2855
Tb 0.3572 0.5618 0.7145
Tb 0.1640 0.1640 0.3279
Tb 0.0000 0.3001 0.0000
Tb 0.8360 0.8360 0.6721
Tb 0.6428 0.4382 0.2855
Tb 0.3572 0.1527 0.7145
Tb 0.0000 0.6999 0.0000
Pm 0.5000 0.0000 0.0000
Sc 0.1997 0.6997 0.3994
Sc 0.8003 0.3003 0.6006

Properties
- energy of formation from the pure elements (eV per atom) = 0.12
- space group = No. 71
- energy above the lowest structure with this stoichiometry (eV/atom) = 0.000

=====

An optimized crystal structure of Tb2Pm5Sc2. Source: Alexandria via LeMat-Bulk, functional PBE-GGA.

a b c (Å): 3.4721 11.7025 10.0555
angles (deg): 45.57 80.06 81.47
Element x y z (fractional)
Tb 0.0549 0.3382 0.5520
Tb 0.9451 0.6618 0.4480
Pm 0.3376 0.9851 0.3396
Pm 0.6624 0.0149 0.6604
Pm 0.2187 0.3530 0.2096
Pm 0.7813 0.6470 0.7904
Pm 0.0000 0.0000 0.0000
Sc 0.4018 0.3495 0.8470
Sc 0.5982 0.6505 0.1530

Properties
- energy of formation from the pure elements (eV per atom) = 0.12
- space group = No. 12
- energy above the lowest structure with this stoichiometry (eV/atom) = 0.000

=====

An optimized crystal structure of Tb4Pm11Sc9. Source: Alexandria via LeMat-Bulk, functional PBE-GGA.

a b c (Å): 3.5053 14.3869 14.3869
angles (deg): 93.39 90.00 90.00
Element x y z (fractional)
Tb 0.5000 0.5563 0.7201
Tb 0.5000 0.4437 0.2799
Tb 0.5000 0.7201 0.5563
Tb 0.5000 0.2799 0.4437
Pm 0.0000 0.5886 0.9252
Pm 0.0000 0.4114 0.0748
Pm 0.0000 0.9252 0.5886
Pm 0.0000 0.0748 0.4114
Pm 0.0000 0.6553 0.3447
Pm 0.0000 0.3447 0.6553
Pm 0.0000 0.8265 0.1735
Pm 0.0000 0.1735 0.8265
Pm 0.0000 0.0000 0.0000
Pm 0.0000 0.7714 0.7714
Pm 0.0000 0.2286 0.2286
Sc 0.5000 0.6202 0.1327
Sc 0.5000 0.3798 0.8673
Sc 0.5000 0.1327 0.6202
Sc 0.5000 0.8673 0.3798
Sc 0.5000 0.7939 0.9738
Sc 0.5000 0.2061 0.0262
Sc 0.5000 0.9738 0.7939
Sc 0.5000 0.0262 0.2061
Sc 0.5000 0.5000 0.5000

Properties
- energy of formation from the pure elements (eV per atom) = 0.09
- space group = No. 65